[1]
# UCoNiSb, optimized geometry, DFT GGA-PBE
data_UCoNiSb
_chemical_formula_sum 'U4 Co4 Ni4 Sb4'
_cell_length_a 6.4499
_cell_length_b 6.4499
_cell_length_c 6.4499
_cell_angle_alpha 90.00
_cell_angle_beta 90.00
_cell_angle_gamma 90.00
_space_group_name_H-M_alt 'F -4 3 m'
_space_group_IT_number 216
_space_group_name_Hall 'F -4 2 3'
loop_
_atom_site_label
_atom_site_type_symbol
_atom_site_fract_x
_atom_site_fract_y
_atom_site_fract_z
U1 U 0.0000 0.0000 0.0000
Co1 Co 0.2500 0.2500 0.7500
Ni1 Ni 0.2500 0.2500 0.2500
Sb1 Sb 0.0000 0.0000 0.5000
# magnetic moment: 0.17 μB/atom
# E_form (uncorrected): -0.172 eV per atom



[2]
# Sr2Sm2Pd15, optimized geometry, DFT GGA-PBE
data_Sr2Sm2Pd15
_chemical_formula_sum 'Sr6 Sm6 Pd45'
_cell_length_a 9.4068
_cell_length_b 9.4068
_cell_length_c 14.1754
_cell_angle_alpha 90.00
_cell_angle_beta 90.00
_cell_angle_gamma 120.00
_space_group_name_H-M_alt 'R -3 m'
_space_group_IT_number 166
_space_group_name_Hall '-R 3 2"'
loop_
_atom_site_label
_atom_site_type_symbol
_atom_site_fract_x
_atom_site_fract_y
_atom_site_fract_z
Sr1 Sr 0.0000 0.0000 0.1388
Sm1 Sm 0.0000 0.0000 0.3898
Pd1 Pd 0.0000 0.2997 0.5000
Pd2 Pd 0.0000 0.5000 0.0000
Pd3 Pd 0.0035 0.5017 0.6531
# magnetic moment: 0.00 μB/atom
# final energy: -5.26 eV per atom



[3]
# PrZnAu, optimized geometry, DFT GGA-PBE
data_PrZnAu
_chemical_formula_sum 'Pr4 Zn4 Au4'
_cell_length_a 6.8107
_cell_length_b 6.8107
_cell_length_c 6.8107
_cell_angle_alpha 90.00
_cell_angle_beta 90.00
_cell_angle_gamma 90.00
_space_group_name_H-M_alt 'F -4 3 m'
_space_group_IT_number 216
_space_group_name_Hall 'F -4 2 3'
loop_
_atom_site_label
_atom_site_type_symbol
_atom_site_fract_x
_atom_site_fract_y
_atom_site_fract_z
Pr1 Pr 0.0000 0.0000 0.0000
Zn1 Zn 0.0000 0.0000 0.5000
Au1 Au 0.2500 0.2500 0.2500
# magnetic moment: 0.00 μB/atom
# final energy: -3.55 eV per atom



[4]
# Nd12Sm6Cd, optimized geometry, DFT GGA-PBE
data_Nd12Sm6Cd
_chemical_formula_sum 'Nd36 Sm18 Cd3'
_cell_length_a 13.2671
_cell_length_b 13.2671
_cell_length_c 13.1408
_cell_angle_alpha 90.00
_cell_angle_beta 90.00
_cell_angle_gamma 120.00
_space_group_name_H-M_alt 'R -3'
_space_group_IT_number 148
_space_group_name_Hall '-R 3'
loop_
_atom_site_label
_atom_site_type_symbol
_atom_site_fract_x
_atom_site_fract_y
_atom_site_fract_z
Nd1 Nd 0.0005 0.2604 0.0003
Nd2 Nd 0.0606 0.5305 0.1108
Sm1 Sm 0.0898 0.1807 0.7746
Cd1 Cd 0.0000 0.0000 0.0000
# magnetic moment: 0.00 μB/atom
# energy above the lowest structure with this stoichiometry: 0.017 eV per atom



[5]
# BePd3Pt, optimized geometry, DFT GGA-PBE
data_BePd3Pt
_chemical_formula_sum 'Be4 Pd12 Pt4'
_cell_length_a 5.5772
_cell_length_b 5.3026
_cell_length_c 9.7318
_cell_angle_alpha 90.00
_cell_angle_beta 92.24
_cell_angle_gamma 90.00
_space_group_name_H-M_alt 'P 1 2/c 1'
_space_group_IT_number 13
_space_group_name_Hall '-P 2yc'
loop_
_atom_site_label
_atom_site_type_symbol
_atom_site_fract_x
_atom_site_fract_y
_atom_site_fract_z
Be1 Be 0.0601 0.2479 0.3579
Pd1 Pd 0.1104 0.2509 0.9426
Pd2 Pd 0.2639 0.4954 0.7052
Pd3 Pd 0.4086 0.2484 0.4677
Pt1 Pt 0.2659 0.0006 0.7061
# magnetic moment: 0.00 μB/atom
# energy above the lowest structure with this stoichiometry: 0.006 eV per atom



[6]
# LaSm8Ho6, optimized geometry, DFT GGA-PBE
data_LaSm8Ho6
_chemical_formula_sum 'La3 Sm24 Ho18'
_cell_length_a 9.0912
_cell_length_b 9.0912
_cell_length_c 20.9155
_cell_angle_alpha 90.00
_cell_angle_beta 90.00
_cell_angle_gamma 120.00
_space_group_name_H-M_alt 'R -3'
_space_group_IT_number 148
_space_group_name_Hall '-R 3'
loop_
_atom_site_label
_atom_site_type_symbol
_atom_site_fract_x
_atom_site_fract_y
_atom_site_fract_z
La1 La 0.0000 0.0000 0.0000
Sm1 Sm 0.0000 0.0000 0.4225
Sm2 Sm 0.0803 0.5239 0.8067
Ho1 Ho 0.0457 0.8045 0.7068
# magnetic moment: 0.00 μB/atom
# final energy: -4.54 eV per atom